[1]
Entry from the Alexandria database: a relaxed RbPmCo2Cl8 crystal (GGA-PBE).

The structure in POSCAR format:
```
RbPmCo2Cl8
1.0
-5.497 -3.077 -1.745
-0.047 -6.142 2.237
-4.798 2.338 8.367
Rb Pm Co Cl
1 1 2 8
Cartesian
-2.399 1.169 4.184
0.000 0.000 0.000
-4.469 -5.211 2.105
-5.874 -1.670 6.754
-7.981 -2.047 5.910
-4.230 -6.836 0.527
-5.848 -5.496 3.774
-4.495 -1.386 5.085
-6.113 -0.045 8.333
-5.265 -3.574 7.894
-5.078 -3.307 0.966
-2.362 -4.835 2.950
```

Calculated values
* symmetry: C2/m (12)
* formation energy without anion corrections: -16.1 eV/f.u.
* M_tot: 6.0 μB/f.u.
* final energy: -4.24 eV per atom

=====

[2]
Entry from the Alexandria database: a relaxed Pm8Co3RuCl4 crystal (GGA-PBE).

The structure in POSCAR format:
```
Pm8Co3RuCl4
1.0
-7.564 1.963 -0.953
-1.235 -7.180 -4.988
2.874 -1.202 7.227
Pm Co Ru Cl
8 3 1 4
Cartesian
0.120 -5.759 3.256
-1.301 -5.165 -0.317
-0.860 -2.292 2.101
-3.619 -4.788 2.785
-2.307 -1.631 -1.499
-5.065 -4.127 -0.814
-4.624 -1.254 1.603
-6.045 -0.661 -1.970
-4.399 -2.608 -2.971
-2.963 -3.210 0.643
0.819 -4.191 1.120
-0.618 -3.590 -2.494
-3.782 0.982 -0.477
-2.345 0.380 3.137
0.000 0.000 0.000
1.437 -0.601 3.614
```

Calculated values
* symmetry: R-3m (166)
* formation energy without anion corrections: -13.6 eV/f.u.
* M_tot: 0.0 μB/f.u.
* final energy: -5.60 eV per atom

=====

[3]
Entry from the Alexandria database: a relaxed Pm6Co2RuCl3 crystal (GGA-PBE).

The structure in POSCAR format:
```
Pm6Co2RuCl3
1.0
-3.348 -1.732 1.133
1.043 -6.135 -6.297
5.748 -1.670 7.600
Pm Co Ru Cl
6 2 1 3
Cartesian
3.713 -7.183 -0.007
0.363 -5.181 -0.011
-0.271 -2.352 2.443
0.326 -1.465 -1.277
3.117 -8.071 3.713
3.080 -4.355 2.446
1.728 -6.633 1.805
1.715 -2.903 0.631
-1.674 -0.866 0.566
-1.153 -3.933 -2.582
1.220 -3.588 4.959
2.223 -5.948 -2.524
```

Calculated values
* symmetry: C2/m (12)
* formation energy without anion corrections: -10.2 eV/f.u.
* M_tot: 0.0 μB/f.u.
* final energy: -5.65 eV per atom

=====

[4]
Entry from the Alexandria database: a relaxed Pm6CoRu2Cl3 crystal (GGA-PBE).

The structure in POSCAR format:
```
Pm6CoRu2Cl3
1.0
-6.225 -0.469 -2.909
5.642 0.159 -3.947
0.623 -7.475 2.597
Pm Co Ru Cl
6 1 2 3
Cartesian
-1.895 -6.283 -3.030
-0.304 -1.762 -4.549
1.935 -1.502 -1.229
1.990 -6.078 -3.370
0.344 -6.023 0.290
-1.950 -1.708 -0.889
0.000 0.000 0.000
1.686 -0.050 -3.601
-2.269 -0.260 -3.255
3.962 -3.684 -2.474
-3.922 -4.101 -1.785
0.020 -3.893 -2.129
```

Calculated values
* symmetry: C2/m (12)
* formation energy without anion corrections: -10.3 eV/f.u.
* M_tot: 0.0 μB/f.u.
* final energy: -5.83 eV per atom

=====

[5]
Entry from the Alexandria database: a relaxed Pm8Co3SCl4 crystal (GGA-PBE).

The structure in POSCAR format:
```
Pm8Co3SCl4
1.0
8.016 0.000 0.000
0.000 8.652 0.443
-4.008 -4.004 5.670
Pm Co S Cl
8 3 1 4
Cartesian
-1.913 2.240 5.766
0.000 4.152 3.060
0.000 0.464 3.159
1.913 2.240 5.766
2.095 2.407 0.347
4.008 4.184 2.954
4.008 0.496 3.053
5.921 2.407 0.347
4.008 4.326 0.221
2.004 2.324 3.056
-2.004 2.324 3.056
0.000 4.326 0.221
4.008 0.000 0.000
2.004 -2.002 2.835
0.000 0.000 0.000
-2.004 -2.002 2.835
```

Calculated values
* symmetry: R-3m (166)
* formation energy without anion corrections: -16.7 eV/f.u.
* M_tot: 0.0 μB/f.u.
* final energy: -5.47 eV per atom

=====

[6]
Entry from the Alexandria database: a relaxed Pm6Co2SCl3 crystal (GGA-PBE).

The structure in POSCAR format:
```
Pm6Co2SCl3
1.0
3.930 0.000 0.000
0.000 8.722 0.080
-1.965 -2.749 8.777
Pm Co S Cl
6 2 1 3
Cartesian
0.000 5.860 5.950
1.965 3.834 3.170
1.965 0.113 2.907
0.000 1.993 0.305
1.965 3.981 8.553
0.000 2.139 5.687
1.965 4.029 5.911
0.000 1.944 2.947
1.965 0.000 0.000
1.965 4.361 0.040
1.965 -0.414 6.013
0.000 6.387 2.844
```

Calculated values
* symmetry: C2/m (12)
* formation energy without anion corrections: -13.4 eV/f.u.
* M_tot: 0.0 μB/f.u.
* final energy: -5.48 eV per atom

=====

[7]
Entry from the Alexandria database: a relaxed Pm4CoS2Cl crystal (GGA-PBE).

The structure in POSCAR format:
```
Pm4CoS2Cl
1.0
-3.004 1.357 -2.131
-4.454 -1.491 5.329
-0.434 5.727 4.259
Pm Co S Cl
4 1 2 1
Cartesian
-3.701 3.056 7.162
-4.191 2.538 0.294
-4.900 1.139 4.018
-2.991 4.455 3.439
-2.444 2.118 4.794
-0.434 5.727 4.259
-1.719 3.542 1.064
-4.162 5.661 5.858
```

Calculated values
* symmetry: P2/m (10)
* formation energy without anion corrections: -10.9 eV/f.u.
* M_tot: 0.0 μB/f.u.
* final energy: -5.89 eV per atom

=====

[8]
Entry from the Alexandria database: a relaxed Pm4CoSeCl2 crystal (GGA-PBE).

The structure in POSCAR format:
```
Pm4CoSeCl2
1.0
-1.781 3.190 -1.522
-6.651 -2.731 2.059
2.621 4.110 5.548
Pm Co Se Cl
4 1 1 2
Cartesian
-1.736 1.874 0.814
-4.074 2.695 5.271
0.462 2.545 4.795
-4.491 -1.166 2.813
0.000 0.000 0.000
-4.216 0.230 0.269
0.420 3.650 2.013
-2.015 0.690 3.804
```

Calculated values
* symmetry: P2/m (10)
* formation energy without anion corrections: -9.8 eV/f.u.
* M_tot: 0.0 μB/f.u.
* final energy: -5.38 eV per atom

=====

[9]
Entry from the Alexandria database: a relaxed Pm6Co2SeCl3 crystal (GGA-PBE).

The structure in POSCAR format:
```
Pm6Co2SeCl3
1.0
4.007 0.000 0.000
0.000 8.751 0.144
-2.004 -2.689 8.754
Pm Co Se Cl
6 2 1 3
Cartesian
0.000 5.853 5.898
2.004 3.963 3.194
2.004 0.210 3.001
0.000 2.116 0.414
2.004 3.947 8.485
0.000 2.099 5.705
2.004 4.023 5.893
0.000 2.040 3.006
2.004 0.000 0.000
2.004 4.376 0.072
2.004 -0.404 6.027
0.000 6.467 2.872
```

Calculated values
* symmetry: C2/m (12)
* formation energy without anion corrections: -13.0 eV/f.u.
* M_tot: 0.0 μB/f.u.
* final energy: -5.40 eV per atom

=====

[10]
Entry from the Alexandria database: a relaxed Pm6Co2SiCl3 crystal (GGA-PBE).

The structure in POSCAR format:
```
Pm6Co2SiCl3
1.0
4.017 0.000 0.000
0.000 8.744 -0.054
-2.009 -2.903 8.881
Pm Co Si Cl
6 2 1 3
Cartesian
0.000 5.668 5.924
2.009 3.906 3.114
2.009 0.174 2.903
0.000 2.036 0.329
2.009 3.806 8.498
0.000 1.936 5.712
2.009 3.804 5.809
0.000 2.038 3.018
2.009 0.000 0.000
2.009 4.372 -0.027
2.009 -0.596 6.011
0.000 6.437 2.816
```

Calculated values
* symmetry: C2/m (12)
* formation energy without anion corrections: -11.1 eV/f.u.
* M_tot: 0.0 μB/f.u.
* final energy: -5.40 eV per atom

=====

[11]
Entry from the Alexandria database: a relaxed Pm8CoSi3Cl4 crystal (GGA-PBE).

The structure in POSCAR format:
```
Pm8CoSi3Cl4
1.0
8.345 0.000 0.000
0.000 8.473 0.084
-4.172 -4.170 5.905
Pm Co Si Cl
8 1 3 4
Cartesian
-2.189 1.957 5.879
0.000 4.144 2.792
0.000 0.159 3.063
2.189 1.957 5.879
1.984 2.345 0.110
4.172 4.144 2.926
4.172 0.159 3.196
6.361 2.345 0.110
0.000 4.236 0.042
4.172 4.236 0.042
2.086 2.151 2.994
-2.086 2.151 2.994
4.172 0.000 0.000
2.086 -2.085 2.953
0.000 0.000 0.000
-2.086 -2.085 2.953
```

Calculated values
* symmetry: C2/m (12)
* formation energy without anion corrections: -17.0 eV/f.u.
* M_tot: 0.0 μB/f.u.
* final energy: -5.36 eV per atom

=====

[12]
Entry from the Alexandria database: a relaxed Pm8Co3SiCl4 crystal (GGA-PBE).

The structure in POSCAR format:
```
Pm8Co3SiCl4
1.0
8.048 0.000 0.000
0.000 8.706 0.456
-4.024 -4.023 5.695
Pm Co Si Cl
8 3 1 4
Cartesian
-1.920 2.267 5.806
0.000 4.184 3.089
0.000 0.435 3.150
1.920 2.267 5.806
2.104 2.415 0.345
4.024 4.248 3.001
4.024 0.499 3.063
5.945 2.415 0.345
4.024 4.353 0.228
2.012 2.341 3.076
-2.012 2.341 3.076
0.000 4.353 0.228
4.024 0.000 0.000
2.012 -2.012 2.847
0.000 0.000 0.000
-2.012 -2.012 2.847
```

Calculated values
* symmetry: R-3m (166)
* formation energy without anion corrections: -13.9 eV/f.u.
* M_tot: 0.0 μB/f.u.
* final energy: -5.38 eV per atom

=====

[13]
Entry from the Alexandria database: a relaxed TbPmCoCl crystal (GGA-PBE).

The structure in POSCAR format:
```
TbPmCoCl
1.0
-0.601 -0.920 3.698
2.202 -2.262 -2.217
5.761 5.358 0.259
Tb Pm Co Cl
1 1 1 1
Cartesian
2.422 -1.877 -1.706
3.902 2.795 1.711
6.062 3.150 0.139
2.305 0.163 2.808
```

Calculated values
* symmetry: R3m (160)
* formation energy without anion corrections: -3.3 eV/f.u.
* M_tot: 0.0 μB/f.u.
* final energy: -5.41 eV per atom

=====

[14]
Entry from the Alexandria database: a relaxed PmThCoCl crystal (GGA-PBE).

The structure in POSCAR format:
```
PmThCoCl
1.0
3.984 -0.002 0.000
-1.992 3.450 0.000
-1.991 -1.149 7.616
Pm Th Co Cl
1 1 1 1
Cartesian
0.377 -0.253 5.097
-1.617 3.197 0.387
-1.615 0.897 6.713
2.368 0.897 2.803
```

Calculated values
* symmetry: R3m (160)
* formation energy without anion corrections: -3.3 eV/f.u.
* M_tot: 0.0 μB/f.u.
* final energy: -6.11 eV per atom

=====

[15]
Entry from the Alexandria database: a relaxed Pm6TlCo2Cl3 crystal (GGA-PBE).

The structure in POSCAR format:
```
Pm6TlCo2Cl3
1.0
3.902 0.000 0.000
0.000 8.765 0.085
-1.951 -2.801 9.906
Pm Tl Co Cl
6 1 2 3
Cartesian
0.000 5.752 6.722
1.951 4.043 3.810
1.951 0.212 3.270
0.000 2.326 0.864
1.951 3.639 9.127
0.000 1.922 6.182
1.951 0.000 0.000
1.951 3.857 6.519
0.000 2.107 3.473
1.951 4.382 0.043
1.951 -0.524 6.275
0.000 6.488 3.717
```

Calculated values
* symmetry: C2/m (12)
* formation energy without anion corrections: -10.0 eV/f.u.
* M_tot: 0.0 μB/f.u.
* final energy: -5.05 eV per atom

=====

[16]
Entry from the Alexandria database: a relaxed Pr2CoCl crystal (GGA-PBE).

The structure in POSCAR format:
```
Pr2CoCl
1.0
-2.534 1.403 1.792
-2.273 -1.693 -1.889
0.269 -6.182 5.219
Pr Co Cl
2 1 1
Cartesian
0.211 -4.852 4.096
0.058 -1.330 1.123
-2.403 -0.145 -0.048
-2.269 -3.236 2.561
```

Calculated values
* energy above the most stable polymorph in this dataset: 0.160 eV per atom
* symmetry: P4/mmm (123)
* formation energy without anion corrections: -2.6 eV/f.u.
* M_tot: 0.0 μB/f.u.
* final energy: -5.28 eV per atom

=====

[17]
Entry from the Alexandria database: a relaxed Pr3CoCl crystal (GGA-PBE).

The structure in POSCAR format:
```
Pr3CoCl
1.0
-3.319 -1.100 -1.257
3.685 -1.985 -7.995
0.150 -6.887 5.629
Pr Co Cl
6 2 2
Cartesian
1.531 -3.636 -3.607
-1.014 -6.335 -0.016
-0.702 -4.981 3.465
-1.590 -1.655 -2.591
1.218 -4.990 -7.088
2.107 -8.317 -1.032
-0.313 -2.403 -5.307
0.830 -7.568 1.684
0.141 -6.550 -2.877
0.376 -3.421 -0.746
```

Calculated values
* symmetry: P2_1/m (11)
* formation energy without anion corrections: -2.8 eV/f.u.
* M_tot: 0.0 μB/f.u.
* final energy: -5.22 eV per atom

=====

[18]
Entry from the Alexandria database: a relaxed PrCoCl crystal (GGA-PBE).

The structure in POSCAR format:
```
PrCoCl
1.0
-3.522 0.914 -0.087
-0.598 -2.549 -2.574
-4.099 -14.357 15.167
Pr Co Cl
4 4 4
Cartesian
-4.691 -14.637 11.655
-3.268 -7.296 4.056
-3.527 -1.354 0.851
-4.951 -8.695 8.450
-2.891 -7.636 6.923
-1.218 -0.360 -0.670
-5.328 -8.355 5.583
-7.001 -15.631 13.176
-3.787 -11.437 8.277
-2.347 -4.101 0.678
-4.432 -4.554 4.229
-5.872 -11.890 11.828
```

Calculated values
* symmetry: Pnma (62)
* formation energy without anion corrections: -2.6 eV/f.u.
* M_tot: 0.7 μB/f.u.
* final energy: -5.46 eV per atom

=====

[19]
Entry from the Alexandria database: a relaxed PrCoCl crystal (GGA-PBE).

The structure in POSCAR format:
```
PrCoCl
1.0
3.944 0.000 0.711
1.908 3.452 0.711
-0.006 -0.003 11.316
Pr Co Cl
2 2 2
Cartesian
2.577 1.520 8.288
3.269 1.928 4.451
0.963 0.568 5.946
4.882 2.880 6.793
4.210 2.483 10.522
1.636 0.965 2.218
```

Calculated values
* symmetry: R-3m (166)
* formation energy without anion corrections: -3.3 eV/f.u.
* M_tot: 0.2 μB/f.u.
* final energy: -5.68 eV per atom

=====

[20]
Entry from the Alexandria database: a relaxed Pr2CoCl crystal (GGA-PBE).

The structure in POSCAR format:
```
Pr2CoCl
1.0
3.974 0.000 0.000
-1.987 3.441 0.000
0.000 0.000 15.330
Pr Co Cl
4 2 2
Cartesian
0.000 2.294 6.123
1.987 1.147 13.788
1.987 1.147 9.207
0.000 2.294 1.542
0.000 0.000 7.665
0.000 0.000 0.000
1.987 1.147 3.832
0.000 2.294 11.497
```

Calculated values
* energy above the most stable polymorph in this dataset: 0.000 eV per atom
* symmetry: P6_3/mmc (194)
* formation energy without anion corrections: -3.3 eV/f.u.
* M_tot: 0.0 μB/f.u.
* final energy: -5.44 eV per atom